1.
First-principles (PBE) data for SrZr2Se after structural relaxation, as listed in the Alexandria database.

The space group is R3m (No. 160, hexagonal axes) and the conventional cell measures 3.6197, 3.6197 and 28.3932 Å, with angles of 90.00, 90.00 and 120.00 degrees. Symmetry generates all atoms from Sr at (0.0000, 0.0000, 0.0000), Zr at (0.0000, 0.0000, 0.5255), Zr at (0.0000, 0.0000, 0.7758) and Se at (0.0000, 0.0000, 0.2547).

As for the total energy: -6.060 eV per atom. For the energy relative to the elements, uncorrected, the calculation gives -494 meV/atom. As for the density of states at the Fermi level: 0.579 states/eV/atom.

=====

2.
First-principles (PBE) data for Nd3YTl2O after structural relaxation, as listed in the Alexandria database.

The space group is Immm (No. 71) and the conventional cell measures 4.7014, 4.8455 and 16.9026 Å, with angles of 90.00, 90.00 and 90.00 degrees. Symmetry generates all atoms from Nd at (0.0000, 0.0000, 0.0000), Nd at (0.0000, 0.5000, 0.1717), Y at (0.0000, 0.0000, 0.5000), Tl at (0.0000, 0.5000, 0.3621) and O at (0.0000, 0.5000, 0.0000).

As for the total energy: -5.402 eV per atom. For the energy relative to the elements, uncorrected, the calculation gives -1051 meV/atom. As for the density of states at the Fermi level: 0.460 states/eV/atom.

=====

3.
First-principles (PBE) data for AlHI2O after structural relaxation, as listed in the Alexandria database.

The space group is P4/mmm (No. 123) and the conventional cell measures 6.0407, 6.0407 and 2.8823 Å, with angles of 90.00, 90.00 and 90.00 degrees. Symmetry generates all atoms from Al at (0.0000, 0.0000, 0.0000), H at (0.5000, 0.5000, 0.5000), I at (0.0000, 0.5000, 0.5000) and O at (0.5000, 0.5000, 0.0000).

The energy relative to the lowest polymorph listed for this composition comes out at 767 meV/atom. As for the total energy: -2.675 eV per atom. As for the density of states at the Fermi level: 0.967 states/eV/atom.

=====

4.
First-principles (PBE) data for DyPaTe2C after structural relaxation, as listed in the Alexandria database.

The space group is P4/nmm (No. 129, origin choice 2) and the conventional cell measures 4.1431, 4.1431 and 15.7870 Å, with angles of 90.00, 90.00 and 90.00 degrees. Symmetry generates all atoms from Dy at (0.2500, 0.2500, 0.1325), Pa at (0.2500, 0.2500, 0.5690), Te at (0.2500, 0.2500, 0.3166), Te at (0.2500, 0.2500, 0.9165) and C at (0.2500, 0.7500, 0.5000).

As for the total energy: -6.858 eV per atom. For the energy relative to the elements, uncorrected, the calculation gives -937 meV/atom. As for the density of states at the Fermi level: 0.359 states/eV/atom.

=====

5.
First-principles (PBE) data for CeNdHo2Er after structural relaxation, as listed in the Alexandria database.

The space group is Pmma (No. 51) and the conventional cell measures 5.8452, 7.7313 and 7.2218 Å, with angles of 90.00, 90.00 and 90.00 degrees. Symmetry generates all atoms from Ce at (0.0000, 0.0000, 0.0000), Nd at (0.2500, 0.5000, 0.1634), Ho at (0.2500, 0.2901, 0.6769) and Er at (0.2500, 0.0000, 0.3855).

As for the total energy: -4.597 eV per atom. As for the density of states at the Fermi level: 1.952 states/eV/atom. The calculation puts the formation energy at 0.2875 eV per atom.

=====

6.
First-principles (PBE) data for UPaH2 after structural relaxation, as listed in the Alexandria database.

The space group is R-3m (No. 166, hexagonal axes) and the conventional cell measures 3.0822, 3.0822 and 19.6197 Å, with angles of 90.00, 90.00 and 120.00 degrees. Symmetry generates all atoms from U at (0.0000, 0.0000, 0.0000), Pa at (0.0000, 0.0000, 0.5000) and H at (0.0000, 0.0000, 0.2509).

The energy relative to the lowest polymorph listed for this composition comes out at 0 meV/atom. As for the total energy: -6.930 eV per atom. As for the density of states at the Fermi level: 1.721 states/eV/atom.

=====

7.
First-principles (PBE) data for Pu2AsIr after structural relaxation, as listed in the Alexandria database.

The space group is P4/mmm (No. 123) and the conventional cell measures 4.8457, 4.8457 and 3.5844 Å, with angles of 90.00, 90.00 and 90.00 degrees. Symmetry generates all atoms from Pu at (0.0000, 0.5000, 0.0000), As at (0.0000, 0.0000, 0.5000) and Ir at (0.5000, 0.5000, 0.5000).

The energy relative to the lowest polymorph listed for this composition comes out at 68 meV/atom. As for the total energy: -11.111 eV per atom. As for the density of states at the Fermi level: 3.532 states/eV/atom. The calculation puts the formation energy at -0.5674 eV per atom.

=====

8.
First-principles (PBE) data for ReSeIBr2 after structural relaxation, as listed in the Alexandria database.

The space group is P4/mmm (No. 123) and the conventional cell measures 5.1678, 5.1678 and 4.8554 Å, with angles of 90.00, 90.00 and 90.00 degrees. Symmetry generates all atoms from Re at (0.0000, 0.0000, 0.0000), Se at (0.0000, 0.0000, 0.5000), I at (0.5000, 0.5000, 0.5000) and Br at (0.0000, 0.5000, 0.0000).

The energy relative to the lowest polymorph listed for this composition comes out at 0 meV/atom. As for the total energy: -3.758 eV per atom. For the energy relative to the elements, uncorrected, the calculation gives 408 meV/atom. As for the density of states at the Fermi level: 1.146 states/eV/atom.

=====

Please write out number 1 again, unchanged.
First-principles (PBE) data for SrZr2Se after structural relaxation, as listed in the Alexandria database.

The space group is R3m (No. 160, hexagonal axes) and the conventional cell measures 3.6197, 3.6197 and 28.3932 Å, with angles of 90.00, 90.00 and 120.00 degrees. Symmetry generates all atoms from Sr at (0.0000, 0.0000, 0.0000), Zr at (0.0000, 0.0000, 0.5255), Zr at (0.0000, 0.0000, 0.7758) and Se at (0.0000, 0.0000, 0.2547).

As for the total energy: -6.060 eV per atom. For the energy relative to the elements, uncorrected, the calculation gives -494 meV/atom. As for the density of states at the Fermi level: 0.579 states/eV/atom.

=====

Repeat the fifth record exactly.
First-principles (PBE) data for CeNdHo2Er after structural relaxation, as listed in the Alexandria database.

The space group is Pmma (No. 51) and the conventional cell measures 5.8452, 7.7313 and 7.2218 Å, with angles of 90.00, 90.00 and 90.00 degrees. Symmetry generates all atoms from Ce at (0.0000, 0.0000, 0.0000), Nd at (0.2500, 0.5000, 0.1634), Ho at (0.2500, 0.2901, 0.6769) and Er at (0.2500, 0.0000, 0.3855).

As for the total energy: -4.597 eV per atom. As for the density of states at the Fermi level: 1.952 states/eV/atom. The calculation puts the formation energy at 0.2875 eV per atom.

=====

What did the second record say?
First-principles (PBE) data for Nd3YTl2O after structural relaxation, as listed in the Alexandria database.

The space group is Immm (No. 71) and the conventional cell measures 4.7014, 4.8455 and 16.9026 Å, with angles of 90.00, 90.00 and 90.00 degrees. Symmetry generates all atoms from Nd at (0.0000, 0.0000, 0.0000), Nd at (0.0000, 0.5000, 0.1717), Y at (0.0000, 0.0000, 0.5000), Tl at (0.0000, 0.5000, 0.3621) and O at (0.0000, 0.5000, 0.0000).

As for the total energy: -5.402 eV per atom. For the energy relative to the elements, uncorrected, the calculation gives -1051 meV/atom. As for the density of states at the Fermi level: 0.460 states/eV/atom.

=====

> What is the total energy in the second record?

-5.402 eV per atom